Density functional theory data (PBE-GGA) for a relaxed YErGa2 crystal.

Energy, eV per atom: -4.92
Total magnetization, μB/cell: 0.1

Lattice parameters (Å, degrees): 4.0421 5.8331 5.8331 43.49 90.00 90.00
With the nearest neighbours (Å) after each atom.
Fractional positions:
Er: 0.5000 0.3608 0.3608  7 Ga 3.03-3.19
Ga: 0.5000 0.0769 0.0769  2 Ga 2.62
Ga: 0.0000 0.9229 0.9229  2 Ga 2.62
Y: 0.0000 0.6394 0.6394  7 Ga 3.04-3.19